Below is SiTe after structural relaxation, with properties calculated at the GGA-PBE level.

POSCAR file:
```
SiTe
1.0
4.055 0.000 0.000
-2.027 3.512 0.000
0.000 0.000 7.099
Si Te
2 2
direct
0.000 0.000 0.000
0.000 0.000 0.500
0.333 0.667 0.250
0.667 0.333 0.750
```

- symmetry = No. 194
- magnetic moment (Bohr magnetons per cell) = 0.0
- D(E_F) (states/eV/f.u.) = 0.74
- ρ (g/cm³) = 5.1
- formation energy (no corrections) (eV/atom) = 0.298
- V (Å³ per cell) = 101
- raw total energy (eV for the cell shown) = -15.9